(1)
# YPbAu (GGA-PBE, optimized geometry)
data_YPbAu
_chemical_formula_sum 'Y2 Pb2 Au2'
_cell_length_a 3.8199
_cell_length_b 4.9826
_cell_length_c 8.1392
_cell_angle_alpha 90.00
_cell_angle_beta 90.00
_cell_angle_gamma 90.00
_space_group_name_H-M_alt 'P m m 2'
_space_group_IT_number 25
_space_group_name_Hall 'P 2 -2'
loop_
_atom_site_label
_atom_site_type_symbol
_atom_site_fract_x
_atom_site_fract_y
_atom_site_fract_z
Y1 Y 0.0000 0.0000 0.0000
Y2 Y 0.0000 0.5000 0.3546
Pb1 Pb 0.0000 0.5000 0.7547
Pb2 Pb 0.5000 0.0000 0.6314
Au1 Au 0.5000 0.0000 0.2772
Au2 Au 0.5000 0.5000 0.0711
# - Magnetization: 0.00 μB/atom

---

(2)
# Nd2Sm6Mg (GGA-PBE, optimized geometry)
data_Nd2Sm6Mg
_chemical_formula_sum 'Nd8 Sm24 Mg4'
_cell_length_a 21.5644
_cell_length_b 6.3263
_cell_length_c 9.2956
_cell_angle_alpha 90.00
_cell_angle_beta 109.39
_cell_angle_gamma 90.00
_space_group_name_H-M_alt 'C 1 2/c 1'
_space_group_IT_number 15
_space_group_name_Hall '-C 2yc'
loop_
_atom_site_label
_atom_site_type_symbol
_atom_site_fract_x
_atom_site_fract_y
_atom_site_fract_z
Nd1 Nd 0.2219 0.1623 0.3025
Sm1 Sm 0.0532 0.3277 0.1362
Sm2 Sm 0.1081 0.1560 0.5249
Sm3 Sm 0.1614 0.3347 0.9123
Mg1 Mg 0.0000 0.1704 0.7500
# - Magnetization: 0.00 μB/atom

---

(3)
# LiErNpS3 (GGA-PBE, optimized geometry)
data_LiErNpS3
_chemical_formula_sum 'Li2 Er2 Np2 S6'
_cell_length_a 8.0292
_cell_length_b 3.7935
_cell_length_c 8.3500
_cell_angle_alpha 90.00
_cell_angle_beta 102.91
_cell_angle_gamma 90.00
_space_group_name_H-M_alt 'P 1 21/m 1'
_space_group_IT_number 11
_space_group_name_Hall '-P 2yb'
loop_
_atom_site_label
_atom_site_type_symbol
_atom_site_fract_x
_atom_site_fract_y
_atom_site_fract_z
Li1 Li 0.0870 0.2500 0.0794
Er1 Er 0.3367 0.7500 0.3315
Np1 Np 0.1746 0.2500 0.7109
S1 S 0.1010 0.2500 0.3631
S2 S 0.2186 0.7500 0.9930
S3 S 0.4241 0.7500 0.6675
# - Magnetization: 0.78 μB/atom

---

(4)
# DyHf2Fe (GGA-PBE, optimized geometry)
data_DyHf2Fe
_chemical_formula_sum 'Dy3 Hf6 Fe3'
_cell_length_a 3.2225
_cell_length_b 3.2225
_cell_length_c 29.8169
_cell_angle_alpha 90.00
_cell_angle_beta 90.00
_cell_angle_gamma 120.00
_space_group_name_H-M_alt 'R -3 m'
_space_group_IT_number 166
_space_group_name_Hall '-R 3 2"'
loop_
_atom_site_label
_atom_site_type_symbol
_atom_site_fract_x
_atom_site_fract_y
_atom_site_fract_z
Dy1 Dy 0.0000 0.0000 0.0000
Hf1 Hf 0.0000 0.0000 0.1078
Fe1 Fe 0.0000 0.0000 0.5000
# - Magnetization: 0.06 μB/atom
# - Energy above the lowest structure with this stoichiometry: 0.294 eV per atom

---

(5)
# Pu5Pd5Pt2 (GGA-PBE, optimized geometry)
data_Pu5Pd5Pt2
_chemical_formula_sum 'Pu10 Pd10 Pt4'
_cell_length_a 15.1932
_cell_length_b 4.3424
_cell_length_c 9.2868
_cell_angle_alpha 90.00
_cell_angle_beta 124.13
_cell_angle_gamma 90.00
_space_group_name_H-M_alt 'C 1 2/m 1'
_space_group_IT_number 12
_space_group_name_Hall '-C 2y'
loop_
_atom_site_label
_atom_site_type_symbol
_atom_site_fract_x
_atom_site_fract_y
_atom_site_fract_z
Pu1 Pu 0.0000 0.0000 0.0000
Pu2 Pu 0.1208 0.0000 0.7988
Pu3 Pu 0.2433 0.0000 0.3380
Pd1 Pd 0.0000 0.5000 0.5000
Pd2 Pd 0.0632 0.5000 0.2597
Pd3 Pd 0.1533 0.5000 0.0555
Pt1 Pt 0.1074 0.0000 0.4731
# - Magnetization: 2.27 μB/atom

---

(6)
# Rb2BiPb4Au3 (GGA-PBE, optimized geometry)
data_Rb2BiPb4Au3
_chemical_formula_sum 'Rb2 Bi1 Pb4 Au3'
_cell_length_a 5.1678
_cell_length_b 5.1678
_cell_length_c 12.0972
_cell_angle_alpha 90.00
_cell_angle_beta 90.00
_cell_angle_gamma 90.00
_space_group_name_H-M_alt 'P -4 m 2'
_space_group_IT_number 115
_space_group_name_Hall 'P -4 -2'
loop_
_atom_site_label
_atom_site_type_symbol
_atom_site_fract_x
_atom_site_fract_y
_atom_site_fract_z
Rb1 Rb 0.0000 0.5000 0.2488
Bi1 Bi 0.5000 0.5000 0.0000
Pb1 Pb 0.0000 0.0000 0.5000
Pb2 Pb 0.0000 0.5000 0.8575
Pb3 Pb 0.5000 0.5000 0.5000
Au1 Au 0.0000 0.0000 0.0000
Au2 Au 0.0000 0.5000 0.6185
# - Magnetization: 0.00 μB/atom

---

(7)
# HgMoIr (GGA-PBE, optimized geometry)
data_HgMoIr
_chemical_formula_sum 'Hg4 Mo4 Ir4'
_cell_length_a 6.1781
_cell_length_b 6.1781
_cell_length_c 6.1781
_cell_angle_alpha 90.00
_cell_angle_beta 90.00
_cell_angle_gamma 90.00
_space_group_name_H-M_alt 'F -4 3 m'
_space_group_IT_number 216
_space_group_name_Hall 'F -4 2 3'
loop_
_atom_site_label
_atom_site_type_symbol
_atom_site_fract_x
_atom_site_fract_y
_atom_site_fract_z
Hg1 Hg 0.0000 0.0000 0.0000
Mo1 Mo 0.0000 0.0000 0.5000
Ir1 Ir 0.2500 0.2500 0.2500
# - Magnetization: 0.00 μB/atom
# - Energy above the lowest structure with this stoichiometry: 0.415 eV per atom

---

no.,calculated volume (Å³ per atom),Fermi-level density of states (states/eV/f.u.),E_tot (eV per cell)
1,25.82,1.2,-30.33
2,33.23,14.3,-157.15
3,20.66,9.3,-82.15
4,22.35,4.4,-95.27
5,21.13,48.1,-231.69
6,32.31,5.2,-32.04
7,19.65,6.1,-73.23